No. 1
Entry from the Alexandria database: a relaxed structure of FeNi3Mo6N2 (PBE).

Computed properties:
The calculation puts the density of states at the Fermi level at 0.72 states/eV per atom. Its total DFT energy (no corrections) is -220.36 eV/cell.

Cell lengths 6.675, 6.673, 6.683 Å; angles 90.00, 90.04, 90.00 degrees
Space group P2_1 (No. 4)
Symmetry-distinct sites (fractional):
Fe  0.178  0.000  0.429 (multiplicity 2)
Ni  0.066  0.244  0.682 (multiplicity 2)
Ni  0.318  0.360  0.932 (multiplicity 2)
Ni  0.435  0.113  0.186 (multiplicity 2)
Mo  0.050  0.053  0.048 (multiplicity 2)
Mo  0.128  0.377  0.296 (multiplicity 2)
Mo  0.199  0.631  0.622 (multiplicity 2)
Mo  0.300  0.725  0.122 (multiplicity 2)
Mo  0.373  0.977  0.798 (multiplicity 2)
Mo  0.458  0.308  0.552 (multiplicity 2)
N  0.124  0.802  0.874 (multiplicity 2)
N  0.375  0.553  0.374 (multiplicity 2)



No. 2
Entry from the Alexandria database: a relaxed structure of CaEuBi (PBE).

Computed properties:
The calculation puts the density of states at the Fermi level at 0.80 states/eV per atom. Its energy above the most stable polymorph in this dataset is 103.2 meV per atom. The formation energy comes out at -0.531 eV per atom.

Cell lengths 4.355, 4.355, 10.580 Å; angles 90.00, 90.00, 90.00 degrees
Space group I4mm (No. 107)
Symmetry-distinct sites (fractional):
Ca  0.000  0.000  0.000 (multiplicity 2)
Eu  0.000  0.000  0.695 (multiplicity 2)
Bi  0.000  0.000  0.354 (multiplicity 2)



No. 3
Entry from the Alexandria database: a relaxed structure of ZrTaNb2Pt (PBE).

Computed properties:
The calculation puts the density of states at the Fermi level at 1.65 states/eV per atom. The formation energy comes out at 1.291 eV per atom.

Cell lengths 4.798, 4.798, 5.071 Å; angles 90.00, 90.00, 90.00 degrees
Space group P4/mmm (No. 123)
Symmetry-distinct sites (fractional):
Zr  0.000  0.000  0.000 (multiplicity 1)
Ta  0.000  0.000  0.500 (multiplicity 1)
Nb  0.000  0.500  0.500 (multiplicity 2)
Pt  0.500  0.500  0.000 (multiplicity 1)



No. 4
Entry from the Alexandria database: a relaxed structure of TbPuRu (PBE).

Computed properties:
The calculation puts the density of states at the Fermi level at 2.53 states/eV per atom. Its energy above the most stable polymorph in this dataset is 50.3 meV per atom. The formation energy comes out at -0.138 eV per atom.

Cell lengths 12.503, 3.396, 6.825 Å; angles 90.00, 104.90, 90.00 degrees
Space group C2/m (No. 12)
Symmetry-distinct sites (fractional):
Tb  0.137  0.000  0.068 (multiplicity 4)
Pu  0.140  0.000  0.564 (multiplicity 4)
Ru  0.002  0.500  0.739 (multiplicity 4)



No. 5
Entry from the Alexandria database: a relaxed structure of KAs2 (PBE).

Computed properties:
The calculation puts the density of states at the Fermi level at 0.55 states/eV per atom. The formation energy comes out at 0.347 eV per atom.

Cell lengths 5.2079, 5.2079, 6.3643 Å; angles 90.00, 90.00, 120.00 degrees
Space group P6_3/mmc (No. 194)
Symmetry-distinct sites (fractional):
K  0.3333  0.6667  0.2500 (multiplicity 2)
As  0.0000  0.0000  0.0000 (multiplicity 2)
As  0.3333  0.6667  0.7500 (multiplicity 2)



No. 6
Entry from the Alexandria database: a relaxed structure of Be2CoSi (PBE).

Computed properties:
The calculation puts the density of states at the Fermi level at 0.30 states/eV per atom. Its total DFT energy (no corrections) is -42.36 eV/cell.

Cell lengths 3.301, 3.301, 6.940 Å; angles 90.00, 90.00, 90.00 degrees
Space group I4/mmm (No. 139)
Symmetry-distinct sites (fractional):
Be  0.000  0.500  0.250 (multiplicity 4)
Co  0.000  0.000  0.000 (multiplicity 2)
Si  0.000  0.000  0.500 (multiplicity 2)



No. 7
Entry from the Alexandria database: a relaxed structure of Pr2ErSc (PBE).

Computed properties:
The calculation puts the density of states at the Fermi level at 1.61 states/eV per atom. Its energy above the most stable polymorph in this dataset is 51.9 meV per atom. The formation energy comes out at 0.091 eV per atom.

Cell lengths 7.983, 7.983, 7.983 Å; angles 90.00, 90.00, 90.00 degrees
Space group Fm-3m (No. 225)
Symmetry-distinct sites (fractional):
Pr  0.250  0.250  0.250 (multiplicity 8)
Er  0.000  0.000  0.000 (multiplicity 4)
Sc  0.000  0.000  0.500 (multiplicity 4)



No. 8
Entry from the Alexandria database: a relaxed structure of YFe2Pt (PBE).

Computed properties:
The calculation puts the density of states at the Fermi level at 0.98 states/eV per atom. The formation energy comes out at 0.209 eV per atom.

Cell lengths 3.0080, 3.0080, 25.9254 Å; angles 90.00, 90.00, 120.00 degrees
Space group R3m (No. 160, hexagonal axes)
Symmetry-distinct sites (fractional):
Y  0.0000  0.0000  0.0000 (multiplicity 3)
Fe  0.0000  0.0000  0.4921 (multiplicity 3)
Fe  0.0000  0.0000  0.7598 (multiplicity 3)
Pt  0.0000  0.0000  0.2385 (multiplicity 3)



No. 9
Entry from the Alexandria database: a relaxed structure of ZrBeB2Rh (PBE).

Computed properties:
The calculation puts the density of states at the Fermi level at 0.85 states/eV per atom. The formation energy comes out at 0.881 eV per atom.

Cell lengths 4.004, 4.004, 5.119 Å; angles 90.00, 90.00, 90.00 degrees
Space group P4/mmm (No. 123)
Symmetry-distinct sites (fractional):
Zr  0.000  0.000  0.000 (multiplicity 1)
Be  0.500  0.500  0.000 (multiplicity 1)
B  0.000  0.500  0.500 (multiplicity 2)
Rh  0.000  0.000  0.500 (multiplicity 1)



No. 10
Entry from the Alexandria database: a relaxed structure of Mg7AlSn4 (PBE).

Computed properties:
The calculation puts the density of states at the Fermi level at 0.39 states/eV per atom. The formation energy comes out at 0.045 eV per atom.

Cell lengths 12.816, 5.501, 10.528 Å; angles 90.00, 124.38, 90.00 degrees
Space group C2/m (No. 12)
Symmetry-distinct sites (fractional):
Mg  0.000  0.000  0.000 (multiplicity 2)
Mg  0.073  0.500  0.425 (multiplicity 4)
Mg  0.180  0.000  0.892 (multiplicity 4)
Mg  0.247  0.500  0.327 (multiplicity 4)
Al  0.000  0.500  0.000 (multiplicity 2)
Sn  0.106  0.000  0.326 (multiplicity 4)
Sn  0.207  0.500  0.772 (multiplicity 4)



No. 11
Entry from the Alexandria database: a relaxed structure of TaNiPb2 (PBE).

Computed properties:
The calculation puts the density of states at the Fermi level at 0.61 states/eV per atom. Its energy above the most stable polymorph in this dataset is 390.3 meV per atom. The formation energy comes out at 0.554 eV per atom.

Cell lengths 4.998, 4.998, 3.244 Å; angles 90.00, 90.00, 90.00 degrees
Space group P4/mmm (No. 123)
Symmetry-distinct sites (fractional):
Ta  0.000  0.000  0.000 (multiplicity 1)
Ni  0.500  0.500  0.000 (multiplicity 1)
Pb  0.000  0.500  0.500 (multiplicity 2)



No. 12
Entry from the Alexandria database: a relaxed structure of PtSe2Cl (PBE).

Computed properties:
The calculation puts the density of states at the Fermi level at 0.55 states/eV per atom. Its energy above the most stable polymorph in this dataset is 233.2 meV per atom.

Cell lengths 4.831, 3.581, 7.018 Å; angles 90.00, 108.35, 90.00 degrees
Space group Pm (No. 6)
Symmetry-distinct sites (fractional):
Pt  0.000  0.000  0.000 (multiplicity 1)
Se  0.437  0.000  0.863 (multiplicity 1)
Se  0.886  0.500  0.752 (multiplicity 1)
Cl  0.116  0.500  0.252 (multiplicity 1)